Record 1
# SrPm2Ga GGA-PBE relaxed
data_SrPm2Ga
_chemical_formula_sum 'Sr1 Pm2 Ga1'
_symmetry_space_group_name_H-M 'P 1'
_symmetry_Int_Tables_number 1
_cell_length_a 4.8606
_cell_length_b 4.8606
_cell_length_c 7.6433
_cell_angle_alpha 71.46
_cell_angle_beta 71.46
_cell_angle_gamma 60.00
loop_
_symmetry_equiv_pos_as_xyz
'x,y,z'
loop_
_atom_site_label
_atom_site_type_symbol
_atom_site_fract_x
_atom_site_fract_y
_atom_site_fract_z
Ga1 Ga 0.0000 0.0000 0.0000
Sr1 Sr 0.5000 0.5000 0.5000
Pm1 Pm 0.2809 0.2809 0.1573
Pm2 Pm 0.7191 0.7191 0.8427
# Space-group type = R-3m, No. 166
# DFT total energy = -3.60 eV/atom
# Mass density = 5.1 g cm⁻³
# Energy above the lowest structure with this stoichiometry = 138.4 meV/atom


Record 2
# Sr2PmGa4 GGA-PBE relaxed
data_Sr2PmGa4
_chemical_formula_sum 'Sr2 Pm1 Ga4'
_symmetry_space_group_name_H-M 'P 1'
_symmetry_Int_Tables_number 1
_cell_length_a 4.3363
_cell_length_b 4.4144
_cell_length_c 10.4722
_cell_angle_alpha 102.17
_cell_angle_beta 101.95
_cell_angle_gamma 90.00
loop_
_symmetry_equiv_pos_as_xyz
'x,y,z'
loop_
_atom_site_label
_atom_site_type_symbol
_atom_site_fract_x
_atom_site_fract_y
_atom_site_fract_z
Sr1 Sr 0.8174 0.8174 0.6348
Sr2 Sr 0.1826 0.1826 0.3652
Ga1 Ga 0.0613 0.5613 0.1226
Ga2 Ga 0.9387 0.4387 0.8774
Pm1 Pm 0.5000 0.0000 0.0000
Ga3 Ga 0.3706 0.3706 0.7413
Ga4 Ga 0.6294 0.6294 0.2587
# Space-group type = Immm, No. 71
# DFT total energy = -3.40 eV/atom
# Mass density = 5.2 g cm⁻³


Record 3
# SrPm4Ga5 GGA-PBE relaxed
data_SrPm4Ga5
_chemical_formula_sum 'Sr1 Pm4 Ga5'
_symmetry_space_group_name_H-M 'P 1'
_symmetry_Int_Tables_number 1
_cell_length_a 3.7143
_cell_length_b 3.7143
_cell_length_c 18.5272
_cell_angle_alpha 90.00
_cell_angle_beta 90.00
_cell_angle_gamma 90.00
loop_
_symmetry_equiv_pos_as_xyz
'x,y,z'
loop_
_atom_site_label
_atom_site_type_symbol
_atom_site_fract_x
_atom_site_fract_y
_atom_site_fract_z
Sr1 Sr 0.0000 0.0000 0.0000
Ga1 Ga 0.5000 0.5000 0.8863
Pm1 Pm 0.0000 0.0000 0.2063
Pm2 Pm 0.0000 0.0000 0.4027
Ga2 Ga 0.5000 0.5000 0.1137
Pm3 Pm 0.0000 0.0000 0.5973
Pm4 Pm 0.0000 0.0000 0.7937
Ga3 Ga 0.5000 0.5000 0.6940
Ga4 Ga 0.5000 0.5000 0.3060
Ga5 Ga 0.5000 0.5000 0.5000
# Space-group type = P4/mmm, No. 123
# DFT total energy = -4.10 eV/atom
# Mass density = 6.6 g cm⁻³


Record 4
# SrPm2Ga6 GGA-PBE relaxed
data_SrPm2Ga6
_chemical_formula_sum 'Sr1 Pm2 Ga6'
_symmetry_space_group_name_H-M 'P 1'
_symmetry_Int_Tables_number 1
_cell_length_a 4.5495
_cell_length_b 7.9066
_cell_length_c 7.9066
_cell_angle_alpha 55.88
_cell_angle_beta 73.28
_cell_angle_gamma 73.28
loop_
_symmetry_equiv_pos_as_xyz
'x,y,z'
loop_
_atom_site_label
_atom_site_type_symbol
_atom_site_fract_x
_atom_site_fract_y
_atom_site_fract_z
Ga1 Ga 0.8164 0.8807 0.4866
Ga2 Ga 0.1836 0.5134 0.1193
Ga3 Ga 0.8164 0.4866 0.8807
Sr1 Sr 0.5000 0.5000 0.5000
Ga4 Ga 0.0000 0.1770 0.8230
Ga5 Ga 0.0000 0.8230 0.1770
Ga6 Ga 0.1836 0.1193 0.5134
Pm1 Pm 0.6274 0.8726 0.8726
Pm2 Pm 0.3726 0.1274 0.1274
# Space-group type = Immm, No. 71
# DFT total energy = -3.73 eV/atom
# Mass density = 5.9 g cm⁻³
# Energy above the lowest structure with this stoichiometry = 135.2 meV/atom


Number 1: D(E_F) 0.92 states/eV per atom, E_form -0.046 eV/atom, M_tot 0.00 μB/f.u.. Number 2: D(E_F) 0.76 states/eV per atom, E_form -0.509 eV/atom, M_tot 0.00 μB/f.u.. Number 3: D(E_F) 0.47 states/eV per atom, E_form -0.518 eV/atom, M_tot 0.00 μB/f.u.. Number 4: D(E_F) 0.18 states/eV per atom, E_form -0.470 eV/atom, M_tot 0.00 μB/f.u..